Computed, not measured: LiTmTlRh after structural relaxation at the PBE level of DFT.

Cell and atoms, written as POSCAR:
```
LiTmTlRh
1.0
4.757 0.000 0.000
2.378 4.119 0.000
2.378 1.373 3.884
Tm Tl Rh Li
1 1 1 1
direct
0.750 0.750 0.750
0.250 0.250 0.250
0.500 0.500 0.500
0.000 0.000 0.000
```

The formation energy from the elements comes out at -9.76 kcal/mol of atoms. As for the total energy: -17.80 eV per cell. Its crystal system is cubic.

Computed, not measured: Li2TlVRh after structural relaxation at the PBE level of DFT.

Cell and atoms, written as POSCAR:
```
Li2TlVRh
1.0
4.505 0.000 0.000
0.000 5.063 0.000
0.000 0.000 4.505
Tl V Li Rh
1 1 2 1
direct
0.000 0.000 0.000
0.000 0.500 0.000
0.000 0.000 0.500
0.500 0.000 0.000
0.500 0.500 0.500
```

The formation energy from the elements comes out at 27.12 kcal/mol of atoms. As for the total energy: -16.78 eV per cell. Its crystal system is tetragonal.

Computed, not measured: LiTlRh2W after structural relaxation at the PBE level of DFT.

Cell and atoms, written as POSCAR:
```
LiTlRh2W
1.0
-2.976 -2.048 3.345
2.554 -3.453 0.158
2.612 2.097 3.608
Rh Li W Tl
2 1 1 1
direct
0.000 0.000 0.500
0.500 0.000 0.000
0.000 0.500 0.000
0.500 0.500 0.500
0.000 0.000 0.000
```

The formation energy from the elements comes out at 38.54 kcal/mol of atoms. As for the total energy: -23.58 eV per cell. Its crystal system is tetragonal.

Look up the formation energy from the elements of the third one.
38.54 kcal/mol of atoms

What is the formation energy from the elements in the first record?
-9.76 kcal/mol of atoms

Among the records above, which one has the highest formation energy from the elements?
LiTlRh2W

What is the formation energy from the elements in the second record?
27.12 kcal/mol of atoms